VASP calculation (PBE+U) on a relaxed structure of K2V2F7.

Results
E_tot: -59.8 eV for the cell shown

Cell lengths 5.606, 6.902, 6.902 Å; angles 120.43, 96.68, 96.68 degrees
Site moments in Bohr magnetons follow the coordinates.
Fractional positions:
K: 0.500 0.308 0.692  0.00
K: 0.500 0.692 0.308  0.00
V: 0.883 0.258 0.258  2.34
V: 0.117 0.742 0.742  2.34
F: 0.262 0.929 0.631  0.00
F: 0.738 0.369 0.071  0.00
F: 0.738 0.071 0.369  0.00
F: 0.262 0.631 0.929  0.00
F: 0.000 0.000 0.000  0.01
F: 0.789 0.544 0.544  0.00
F: 0.211 0.456 0.456  0.00